AlPICl2 | PBE | optimized geometry

Computed properties:
**Raw formation energy**: -0.2917 eV per atom
**Energy relative to the lowest polymorph listed for this composition**: 0.000 eV per atom

Structure (POSCAR):
```
AlPICl2
1.0
-0.073 -1.940 4.091
3.228 -2.891 -1.314
3.896 3.553 1.755
Cl Al I P
2 1 1 1
Direct
0.000 0.500 0.000 Cl
0.500 0.000 0.000 Cl
0.000 0.000 0.000 Al
0.500 0.500 0.500 I
0.000 0.000 0.500 P
```



KYNi2 | PBE | optimized geometry

Computed properties:
**Energy relative to the lowest polymorph listed for this composition**: 0.141 eV per atom

Structure (POSCAR):
```
KYNi2
1.0
-2.187 1.258 -3.116
0.222 -3.632 -1.622
-5.463 -3.594 2.384
Y K Ni
1 1 2
Direct
0.000 0.512 0.349 Y
0.500 0.779 0.816 K
0.000 0.145 0.085 Ni
0.500 0.063 0.249 Ni
```



CaIrW2 | PBE | optimized geometry

Computed properties:
**Energy relative to the lowest polymorph listed for this composition**: 0.494 eV per atom

Structure (POSCAR):
```
CaIrW2
1.0
0.000 3.224 3.224
3.224 0.000 3.224
3.224 3.224 0.000
Ca Ir W
1 1 2
Direct
0.000 0.000 0.000 Ca
0.500 0.500 0.500 Ir
0.250 0.250 0.250 W
0.750 0.750 0.750 W
```



La6CuAg2 | PBE | optimized geometry

Computed properties:
**Final energy**: -80.11 eV for the cell shown

Structure (POSCAR):
```
La6CuAg2
1.0
6.514 0.000 0.149
0.000 8.055 0.000
-0.628 0.000 10.759
La Ag Cu
12 4 2
Direct
0.854 0.658 0.544 La
0.855 0.956 0.243 La
0.360 0.791 0.444 La
0.146 0.342 0.456 La
0.640 0.209 0.556 La
0.860 0.709 0.944 La
0.645 0.456 0.257 La
0.355 0.544 0.743 La
0.145 0.044 0.757 La
0.354 0.842 0.044 La
0.140 0.291 0.056 La
0.646 0.158 0.956 La
0.600 0.892 0.730 Ag
0.900 0.392 0.770 Ag
0.400 0.108 0.270 Ag
0.100 0.608 0.230 Ag
0.500 0.500 0.000 Cu
0.000 0.000 0.500 Cu
```



Pr4Y2Ho5 | PBE | optimized geometry

Computed properties:
**Energy relative to the lowest polymorph listed for this composition**: 0.000 eV per atom

Structure (POSCAR):
```
Pr4Y2Ho5
1.0
-5.689 0.010 -0.254
0.298 0.193 -6.656
2.833 -9.652 0.016
Ho Pr Y
5 4 2
Direct
0.209 0.402 0.418 Ho
0.130 0.890 0.261 Ho
0.870 0.110 0.739 Ho
0.791 0.598 0.582 Ho
0.500 0.000 0.000 Ho
0.020 0.287 0.040 Pr
0.306 0.928 0.612 Pr
0.694 0.072 0.388 Pr
0.980 0.713 0.960 Pr
0.402 0.445 0.803 Y
0.598 0.555 0.197 Y
```



YPtI2 | PBE | optimized geometry

Computed properties:
**Raw formation energy**: -0.2843 eV per atom
**Energy relative to the lowest polymorph listed for this composition**: 0.000 eV per atom

Structure (POSCAR):
```
YPtI2
1.0
0.000 3.728 3.728
3.728 0.000 3.728
3.728 3.728 0.000
Pt I Y
1 2 1
Direct
0.500 0.500 0.500 Pt
0.250 0.250 0.250 I
0.750 0.750 0.750 I
0.000 0.000 0.000 Y
```



AcLaCoNi | PBE | optimized geometry

Computed properties:
**Energy relative to the lowest polymorph listed for this composition**: 0.000 eV per atom

Structure (POSCAR):
```
AcLaCoNi
1.0
4.013 0.000 0.000
0.000 4.066 0.000
-2.006 0.000 5.860
Co Ac Ni La
1 1 1 1
Direct
0.429 0.000 0.857 Co
0.142 0.000 0.283 Ac
0.560 0.500 0.120 Ni
0.870 0.500 0.740 La
```



Ba2CaTl10 | PBE | optimized geometry

Computed properties:
**Final energy**: -61.08 eV for the cell shown

Structure (POSCAR):
```
Ba2CaTl10
1.0
-6.527 0.729 2.245
1.790 -2.880 6.140
4.895 19.731 7.828
Tl Ca Ba
20 2 4
Direct
0.717 0.255 0.089 Tl
0.283 0.245 0.589 Tl
0.000 0.956 0.156 Tl
0.717 0.755 0.411 Tl
0.000 0.546 0.797 Tl
0.283 0.755 0.411 Tl
0.717 0.745 0.911 Tl
0.000 0.406 0.936 Tl
0.000 0.594 0.064 Tl
0.283 0.255 0.089 Tl
0.000 0.046 0.703 Tl
0.000 0.456 0.344 Tl
0.000 0.544 0.656 Tl
0.717 0.245 0.589 Tl
0.000 0.906 0.564 Tl
0.000 0.044 0.844 Tl
0.283 0.745 0.911 Tl
0.000 0.454 0.203 Tl
0.000 0.094 0.436 Tl
0.000 0.954 0.297 Tl
0.000 0.000 0.000 Ca
0.000 0.500 0.500 Ca
0.500 0.264 0.408 Ba
0.500 0.736 0.592 Ba
0.500 0.764 0.092 Ba
0.500 0.236 0.908 Ba
```



Cs2Rb4I3Cl2 | PBE | optimized geometry

Computed properties:
**Raw formation energy**: -1.4563 eV per atom

Structure (POSCAR):
```
Cs2Rb4I3Cl2
1.0
6.361 0.000 0.000
0.000 6.361 0.000
-3.180 -3.180 14.874
Rb Cl Cs I
4 2 2 3
Direct
0.918 0.418 0.835 Rb
0.582 0.082 0.165 Rb
0.082 0.582 0.165 Rb
0.418 0.918 0.835 Rb
0.594 0.594 0.187 Cl
0.406 0.406 0.813 Cl
0.710 0.710 0.420 Cs
0.290 0.290 0.580 Cs
0.157 0.157 0.313 I
0.000 0.000 0.000 I
0.843 0.843 0.687 I
```



CaYBr2 | PBE | optimized geometry

Computed properties:
**Raw formation energy**: -1.2338 eV per atom
**Energy relative to the lowest polymorph listed for this composition**: 0.017 eV per atom

Structure (POSCAR):
```
CaYBr2
1.0
3.706 0.000 0.000
0.000 3.702 0.007
0.000 3.662 9.570
Ca Br Y
1 2 1
Direct
0.000 0.525 0.474 Ca
0.500 0.181 0.317 Br
0.000 0.067 0.935 Br
0.500 0.727 0.774 Y
```



BaZn4Br | PBE | optimized geometry

Computed properties:
**Raw formation energy**: -0.2014 eV per atom

Structure (POSCAR):
```
BaZn4Br
1.0
-4.964 -0.302 3.281
-5.034 -2.098 -2.399
-2.129 -5.298 1.701
Zn Br Ba
4 1 1
Direct
0.372 0.372 0.372 Zn
0.372 0.372 0.883 Zn
0.372 0.883 0.372 Zn
0.883 0.372 0.372 Zn
0.000 0.000 0.000 Br
0.750 0.750 0.750 Ba
```



TmThTePt | PBE | optimized geometry

Computed properties:
**Raw formation energy**: -1.1937 eV per atom

Structure (POSCAR):
```
TmThTePt
1.0
4.191 -0.001 0.000
-2.096 3.631 0.000
-2.095 -1.209 7.487
Pt Th Tm Te
1 1 1 1
Direct
0.139 0.968 0.122 Pt
0.332 0.564 0.911 Th
0.942 0.369 0.326 Tm
0.465 0.131 0.611 Te
```



It is found that the size of the total moment values, taken in the order of the records, are 0.000; 0.000; 0.000; 0.000; 0.000; 0.000; 0.000; 0.000; 0.000; 0.283; 0.000; 0.000 μB/f.u..